No. 1
First-principles (GGA-PBEsol) data for crystalline LiLaZn2 at its relaxed geometry, as listed in the Alexandria database.

a b c (Å): 3.357 3.357 6.983
angles (deg): 90.00 90.00 90.00
Fractional positions:
Li1 0.000 0.000 0.000
La1 0.000 0.000 0.500
Zn1 0.500 0.500 0.191
Zn2 0.500 0.500 0.809

Values from the calculation:
Space group ... P4/mmm, No. 123
Uncorrected energy ... -2.777 eV/atom


No. 2
First-principles (GGA-PBEsol) data for crystalline ZnCuNi2 at its relaxed geometry, as listed in the Alexandria database.

a b c (Å): 4.747 4.747 4.747
angles (deg): 146.99 129.37 61.78
Fractional positions:
Zn1 0.000 0.000 0.000
Cu1 0.747 0.247 0.500
Ni1 0.249 0.749 0.500
Ni2 0.496 0.496 0.000

Values from the calculation:
Space group ... Imm2, No. 44
Uncorrected energy ... -4.630 eV/atom


No. 3
First-principles (GGA-PBEsol) data for crystalline Ce2O3 at its relaxed geometry, as listed in the Alexandria database.

a b c (Å): 7.268 7.268 8.845
angles (deg): 99.37 99.37 29.29
Fractional positions:
Ce1 0.035 0.035 0.313
Ce2 0.313 0.313 0.362
Ce3 0.366 0.366 0.011
Ce4 0.634 0.634 0.989
Ce5 0.687 0.687 0.638
Ce6 0.965 0.965 0.687
O1 0.129 0.129 0.788
O2 0.177 0.177 0.474
O3 0.201 0.201 0.129
O4 0.473 0.473 0.843
O5 0.500 0.500 0.500
O6 0.527 0.527 0.157
O7 0.799 0.799 0.871
O8 0.823 0.823 0.526
O9 0.871 0.871 0.212

Values from the calculation:
Space group ... C2/m, No. 12
Energy relative to the elements, uncorrected ... -3.282 eV per atom


No. 4
First-principles (GGA-PBEsol) data for crystalline AlCN2O at its relaxed geometry, as listed in the Alexandria database.

a b c (Å): 3.763 3.763 3.573
angles (deg): 90.00 90.00 90.00
Fractional positions:
Al1 0.000 0.000 0.000
C1 0.500 0.500 0.500
N1 0.000 0.500 0.000
N2 0.500 0.000 0.000
O1 0.000 0.000 0.500

Values from the calculation:
Space group ... P4/mmm, No. 123
Energy relative to the elements, uncorrected ... 1.721 eV per atom